1.
The following is a meta-GGA SCAN calculation of a PBEsol-optimized structure of CaAgHg, from Alexandria.

abc: 4.806 4.806 4.806
angles: 60.00 60.00 60.00
Sites, in units of the cell vectors:
Ag: 0.000 0.000 0.000
Ca: 0.500 0.500 0.500
Hg: 0.250 0.250 0.250

Output
Raw total energy: -36.687 eV per atom

---

2.
The following is a meta-GGA SCAN calculation of a PBEsol-optimized structure of BeSiPt, from Alexandria.

abc: 3.208 3.200 4.255
angles: 112.09 112.15 90.00
Sites, in units of the cell vectors:
Si: 0.329 0.329 0.657
Pt: 0.668 0.668 0.335
Be: 0.004 0.004 0.008

Output
Energy above the lowest structure with this stoichiometry: 154 meV per atom

---

3.
The following is a meta-GGA SCAN calculation of a PBEsol-optimized structure of TlCrInPt2, from Alexandria.

abc: 4.932 4.932 5.283
angles: 90.00 90.00 90.00
Sites, in units of the cell vectors:
Tl: 0.000 0.000 0.500
Pt: 0.500 0.000 0.000
Pt: 0.000 0.500 0.000
Cr: 0.500 0.500 0.500
In: 0.000 0.000 0.000

Output
Raw total energy: -51.895 eV per atom

---

4.
The following is a meta-GGA SCAN calculation of a PBEsol-optimized structure of Fe2PRu, from Alexandria.

abc: 3.538 3.538 4.282
angles: 114.40 114.40 90.00
Sites, in units of the cell vectors:
Fe: 0.000 0.000 0.000
Fe: 0.750 0.250 0.500
Ru: 0.250 0.750 0.500
P: 0.500 0.500 0.000

Output
Raw total energy: -20.307 eV per atom

---

5.
The following is a meta-GGA SCAN calculation of a PBEsol-optimized structure of VPd3, from Alexandria.

abc: 3.832 3.832 3.832
angles: 90.00 90.00 90.00
Sites, in units of the cell vectors:
V: 0.000 0.000 0.000
Pd: 0.500 0.000 0.500
Pd: 0.500 0.500 0.000
Pd: 0.000 0.500 0.500

Output
Raw total energy: -29.233 eV per atom

---

6.
The following is a meta-GGA SCAN calculation of a PBEsol-optimized structure of BeP2Ru, from Alexandria.

abc: 3.200 3.757 4.003
angles: 90.00 90.00 90.00
Sites, in units of the cell vectors:
Ru: 0.500 0.500 0.000
P: 0.000 0.000 0.000
P: 0.000 0.500 0.500
Be: 0.500 0.000 0.500

Output
Raw total energy: -14.755 eV per atom

---

7.
The following is a meta-GGA SCAN calculation of a PBEsol-optimized structure of CaAlTc2Te, from Alexandria.

abc: 4.544 4.544 5.194
angles: 90.00 90.00 90.00
Sites, in units of the cell vectors:
Tc: 0.500 0.000 0.000
Tc: 0.000 0.500 0.000
Te: 0.500 0.500 0.500
Ca: 0.000 0.000 0.500
Al: 0.000 0.000 0.000

Output
Raw total energy: -24.148 eV per atom

---

8.
The following is a meta-GGA SCAN calculation of a PBEsol-optimized structure of MnCd, from Alexandria.

abc: 4.307 4.307 4.307
angles: 60.00 60.00 60.00
Sites, in units of the cell vectors:
Mn: 0.750 0.750 0.750
Cd: 0.000 0.000 0.000

Output
Raw total energy: -23.452 eV per atom

---

9.
The following is a meta-GGA SCAN calculation of a PBEsol-optimized structure of Ti2IrI, from Alexandria.

abc: 5.957 5.957 7.176
angles: 114.53 114.53 90.00
Sites, in units of the cell vectors:
Ir: 0.000 0.000 0.000
Ir: 0.250 0.750 0.500
Ti: 0.318 0.875 0.250
Ti: 0.625 0.682 0.750
Ti: 0.932 0.375 0.250
Ti: 0.125 0.068 0.750
I: 0.750 0.250 0.500
I: 0.500 0.500 0.000

Output
Raw total energy: -34.855 eV per atom

---

10.
The following is a meta-GGA SCAN calculation of a PBEsol-optimized structure of K2CaGaSb, from Alexandria.

abc: 5.870 6.570 6.570
angles: 90.00 90.00 90.00
Sites, in units of the cell vectors:
Sb: 0.000 0.000 0.000
Ca: 0.500 0.000 0.000
Ga: 0.500 0.500 0.500
K: 0.000 0.000 0.500
K: 0.000 0.500 0.000

Output
Raw total energy: -15.955 eV per atom

---

11.
The following is a meta-GGA SCAN calculation of a PBEsol-optimized structure of BMoAsSe2, from Alexandria.

abc: 4.213 4.391 4.391
angles: 90.00 90.00 90.00
Sites, in units of the cell vectors:
Se: 0.000 0.500 0.000
Se: 0.000 0.000 0.500
As: 0.500 0.000 0.000
Mo: 0.500 0.500 0.500
B: 0.000 0.000 0.000

Output
Raw total energy: -19.573 eV per atom

---

12.
The following is a meta-GGA SCAN calculation of a PBEsol-optimized structure of SnPb4S5, from Alexandria.

abc: 4.142 4.142 14.932
angles: 97.97 97.97 90.00
Sites, in units of the cell vectors:
S: 0.902 0.902 0.804
S: 0.500 0.500 0.000
S: 0.700 0.700 0.401
S: 0.300 0.300 0.599
S: 0.098 0.098 0.196
Pb: 0.800 0.800 0.601
Pb: 0.401 0.401 0.801
Pb: 0.200 0.200 0.399
Pb: 0.599 0.599 0.199
Sn: 0.000 0.000 0.000

Output
Raw total energy: -39.236 eV per atom

---

Number 1: calculated volume 26.16 A^3/atom. Number 2: calculated volume 12.33 A^3/atom. Number 3: calculated volume 25.71 A^3/atom. Number 4: calculated volume 10.87 A^3/atom. Number 5: calculated volume 14.07 A^3/atom. Number 6: calculated volume 12.03 A^3/atom. Number 7: calculated volume 21.45 A^3/atom. Number 8: calculated volume 28.25 A^3/atom. Number 9: calculated volume 25.77 A^3/atom. Number 10: calculated volume 50.68 A^3/atom. Number 11: calculated volume 16.24 A^3/atom. Number 12: calculated volume 25.12 A^3/atom.